GGA-PBEsol BePRhO2, optimized geometry; V = 12.15 Å³ per atom; final energy = -0.439 Ry/atom; E_form (uncorrected) = -292 meV per atom; mass density = 4.781 g/cm³; crystal system = tetragonal; total magnetic moment = 0.132 μB per atom
1.0
3.237 0.000 0.000
0.000 3.237 0.000
0.000 0.000 5.796
Be P Rh O
1 1 1 2
Direct
0.000 0.000 0.000
0.000 0.000 0.500
0.500 0.500 0.500
0.000 0.500 0.000
0.500 0.000 0.000